Material: Li2TiFeO4
Method: DFT, GGA+U
State: optimized geometry

a b c (Å): 3.948 4.410 9.361
angles (deg): 77.09 77.83 89.99
Atoms (fractional coordinates):
Li 0.000 0.000 0.000
Li 0.106 0.587 0.786
Li 0.217 0.162 0.566
Li 0.848 0.313 0.303
Ti 0.482 0.500 0.040
Ti 0.724 0.646 0.550
Fe 0.357 0.838 0.284
Fe 0.607 0.085 0.784
O 0.107 0.083 0.784
O 0.228 0.713 0.542
O 0.377 0.351 0.244
O 0.481 0.924 0.037
O 0.613 0.592 0.772
O 0.732 0.242 0.535
O 0.835 0.822 0.329
O 0.989 0.458 0.020

## Properties
**Distance to the lowest polymorph of the same formula**: 0.0409 eV/atom
**Theoretical density**: 3.89 Mg/m³
**Symmetry**: P1